# USbAu4 | the Alexandria database | PBE | optimized geometry
data_USbAu4
_cell_length_a 8.008
_cell_length_b 8.008
_cell_length_c 8.008
_cell_angle_alpha 90.00
_cell_angle_beta 90.00
_cell_angle_gamma 90.00
_space_group_name_H-M_alt 'F -4 3 m'
_space_group_IT_number 216
_space_group_name_Hall 'F -4 2 3'
loop_
_atom_site_label
_atom_site_type_symbol
_atom_site_fract_x
_atom_site_fract_y
_atom_site_fract_z
U1 U 0.000 0.000 0.000
Sb1 Sb 0.250 0.250 0.750
Au1 Au 0.125 0.125 0.375
# formation energy without anion corrections	-0.4	eV/f.u.
# E above lowest polymorph	82	meV/atom